DFT (PBE+U) results for K2Ni2F7 after structural relaxation.

Cell lengths 3.7444, 7.2788, 7.2788 Å; angles 118.23, 90.23, 90.23 degrees
Each line ends with the local moment (μB).
Sites, in units of the cell vectors:
1 K 0.5000 0.7598 0.2402  0.00
2 K 0.5000 0.2402 0.7598  0.00
3 Ni 0.0047 0.2600 0.2600  1.58
4 Ni 0.9953 0.7400 0.7400  1.58
5 F 0.0044 0.4306 0.1326  -0.05
6 F 0.9956 0.8674 0.5694  -0.05
7 F 0.9956 0.5694 0.8674  -0.05
8 F 0.0044 0.1326 0.4306  -0.05
9 F 0.4947 0.6940 0.6940  -0.03
10 F 0.0000 0.0000 0.0000  0.07
11 F 0.5053 0.3060 0.3060  -0.03

Results
- SG = C2/m (12)
- calculated volume (Å³/cell) = 175
- E_tot (eV per atom) = -4.038